# 1
First-principles (PBE with a Hubbard U) data for a relaxed structure of Li2VReO6, as listed in the Alexandria database.

Unit cell a=3.8209 b=5.5112 c=5.5112 alpha=90.00 beta=90.00 gamma=90.00
Last column: nearest neighbours and their distance in Å.
Atoms (fractional coordinates):
Li 0.8952 0.5000 0.0000  4 O 2.06
Li 0.8952 0.0000 0.5000  4 O 2.06
V 0.6561 0.5000 0.5000  1 O 1.73
Re 0.7070 0.0000 0.0000  6 O 1.89-1.93
O 0.7192 0.2456 0.2456  1 Re 1.91, 1 V 2.00, 2 Li 2.06
O 0.7192 0.2456 0.7544  1 Re 1.91, 1 V 2.00, 2 Li 2.06
O 0.2035 0.5000 0.5000  1 V 1.73
O 0.2131 0.0000 0.0000  2 Re 1.89-1.93
O 0.7192 0.7544 0.7544  1 Re 1.91, 1 V 2.00, 2 Li 2.06
O 0.7192 0.7544 0.2456  1 Re 1.91, 1 V 2.00, 2 Li 2.06

D(E_F) = 3.225 states/eV per cell
M_tot = 0.1103 μB/atom
final energy = -71.411 eV/cell

# 2
First-principles (PBE with a Hubbard U) data for a relaxed structure of Li2V2ReO6, as listed in the Alexandria database.

Unit cell a=5.1842 b=5.1842 c=5.3065 alpha=99.41 beta=99.41 gamma=120.13
Last column: nearest neighbours and their distance in Å.
Atoms (fractional coordinates):
Li 0.8303 0.1697 0.0000  6 O 2.19-2.21
Li 0.1697 0.8303 0.0000  6 O 2.19-2.21
V 0.3385 0.6615 0.5000  6 O 2.03-2.09
V 0.6615 0.3385 0.5000  6 O 2.03-2.09
Re 0.0000 0.0000 0.5000  6 O 2.06-2.07
O 0.7456 0.7456 0.7290  2 V 2.05, 1 Re 2.06, 2 Li 2.21
O 0.0590 0.4046 0.7204  2 V 2.03-2.09, 1 Re 2.07, 2 Li 2.19
O 0.2544 0.2544 0.2710  2 V 2.05, 1 Re 2.06, 2 Li 2.21
O 0.4046 0.0590 0.7204  2 V 2.03-2.09, 1 Re 2.07, 2 Li 2.19
O 0.9410 0.5954 0.2796  2 V 2.03-2.09, 1 Re 2.07, 2 Li 2.19
O 0.5954 0.9410 0.2796  2 V 2.03-2.09, 1 Re 2.07, 2 Li 2.19

M_tot = 0.0909 μB/atom
final energy = -80.839 eV/cell

# 3
First-principles (PBE with a Hubbard U) data for a relaxed structure of LiV2ReO8, as listed in the Alexandria database.

Unit cell a=5.8095 b=5.8095 c=5.4403 alpha=90.00 beta=90.00 gamma=120.00
Last column: nearest neighbours and their distance in Å.
Atoms (fractional coordinates):
Li 0.0000 0.0000 0.0000  6 O 2.20
V 0.6667 0.3333 0.3561  1 O 1.62
V 0.3333 0.6667 0.6439  1 O 1.62
Re 0.0000 0.0000 0.5000  6 O 1.95
O 0.8446 0.1554 0.2852  1 V 1.83, 1 Re 1.95
O 0.8446 0.6892 0.2852  1 V 1.83, 1 Re 1.95
O 0.3108 0.1554 0.2852  1 V 1.83, 1 Re 1.95
O 0.6892 0.8446 0.7148  1 V 1.83, 1 Re 1.95
O 0.3333 0.6667 0.3467  1 V 1.62
O 0.6667 0.3333 0.6533  1 V 1.62
O 0.1554 0.8446 0.7148  1 V 1.83, 1 Re 1.95
O 0.1554 0.3108 0.7148  1 V 1.83, 1 Re 1.95

D(E_F) = 3.568 states/eV per cell
M_tot = 0.0696 μB/atom
final energy = -88.906 eV/cell

# 4
First-principles (PBE with a Hubbard U) data for a relaxed structure of Li2ReWO6, as listed in the Alexandria database.

Unit cell a=3.8679 b=5.5899 c=5.5899 alpha=90.00 beta=90.00 gamma=90.00
Last column: nearest neighbours and their distance in Å.
Atoms (fractional coordinates):
Li 0.8834 0.5000 0.0000  4 O 2.08
Li 0.8834 0.0000 0.5000  4 O 2.08
Re 0.7078 0.0000 0.0000  6 O 1.93-1.99
W 0.6958 0.5000 0.5000  6 O 1.90-1.96
O 0.7157 0.2521 0.2521  1 W 1.96, 1 Re 1.99, 2 Li 2.08
O 0.7157 0.2521 0.7479  1 W 1.96, 1 Re 1.99, 2 Li 2.08
O 0.2038 0.5000 0.5000  2 W 1.90-1.96
O 0.2094 0.0000 0.0000  2 Re 1.93-1.94
O 0.7157 0.7479 0.7479  1 W 1.96, 1 Re 1.99, 2 Li 2.08
O 0.7157 0.7479 0.2521  1 W 1.96, 1 Re 1.99, 2 Li 2.08

D(E_F) = 1.804 states/eV per cell
M_tot = 0.0000 μB/atom
final energy = -71.310 eV/cell